[1]
A relaxed GdY2Cu4Si4 crystal, computed with PBE-GGA.

crystal system	orthorhombic
magnetization	0.005	Bohr magnetons per cell
electronic total energy	-61.174	eV/cell

a = 7.8697 Å, b = 7.8697 Å, c = 7.8697 Å
α = 149.58°, β = 130.73°, γ = 59.02°
With the nearest neighbours (Å) after each atom.
Fractional positions:
Gd  0.0000  0.0000  0.0000  6 Si 2.93-2.97
Y  0.3705  0.8705  0.5000  6 Cu 2.95-3.03, 6 Si 2.95-2.98
Y  0.6295  0.1295  0.5000  6 Cu 2.95-3.03, 6 Si 2.95-2.98
Cu  0.0212  0.3312  0.6900  4 Si 2.46-2.57, 1 Cu 2.49
Cu  0.3588  0.6688  0.6900  4 Si 2.46-2.57, 1 Cu 2.49
Cu  0.6412  0.3312  0.3100  4 Si 2.46-2.57, 1 Cu 2.49
Cu  0.9788  0.6688  0.3100  4 Si 2.46-2.57, 1 Cu 2.49
Si  0.2168  0.2168  0.0000  6 Cu 2.50-2.57
Si  0.3161  0.5000  0.8161  1 Si 2.41, 2 Cu 2.46
Si  0.6839  0.5000  0.1839  1 Si 2.41, 2 Cu 2.46
Si  0.7832  0.7832  0.0000  6 Cu 2.50-2.57

[2]
A relaxed Gd2ZnCuSi2 crystal, computed with PBE-GGA.

crystal system	hexagonal
magnetization	0.028	Bohr magnetons per cell
electronic total energy	-28.994	eV/cell

a = 4.1609 Å, b = 4.1609 Å, c = 7.7513 Å
α = 90.00°, β = 90.00°, γ = 120.00°
With the nearest neighbours (Å) after each atom.
Fractional positions:
Gd  0.0000  0.0000  0.2406  6 Si 3.04-3.13, 3 Cu 3.04, 3 Zn 3.13
Gd  0.0000  0.0000  0.7594  3 Cu 3.04, 6 Si 3.04-3.13, 3 Zn 3.13
Zn  0.3333  0.6667  0.5000  3 Si 2.40
Cu  0.6667  0.3333  0.0000  3 Si 2.40
Si  0.3333  0.6667  0.0000  3 Cu 2.40
Si  0.6667  0.3333  0.5000  3 Zn 2.40

[3]
A relaxed SmGdCu crystal, computed with PBE-GGA.

energy above the lowest structure with this stoichiometry	0	meV per atom
crystal system	cubic
magnetization	0.002	Bohr magnetons per cell
DFT formation energy	632	meV/atom
electronic total energy	-44.740	eV/cell

a = 6.8204 Å, b = 6.8204 Å, c = 6.8204 Å
α = 90.00°, β = 90.00°, γ = 90.00°
With the nearest neighbours (Å) after each atom.
Fractional positions:
Sm  0.0000  0.0000  0.0000  4 Gd 2.95
Sm  0.0000  0.5000  0.5000  4 Gd 2.95
Sm  0.5000  0.0000  0.5000  4 Gd 2.95
Sm  0.5000  0.5000  0.0000  4 Gd 2.95
Gd  0.2500  0.2500  0.7500  4 Cu 2.95, 4 Sm 2.95
Gd  0.2500  0.7500  0.2500  4 Cu 2.95, 4 Sm 2.95
Gd  0.7500  0.2500  0.2500  4 Cu 2.95, 4 Sm 2.95
Gd  0.7500  0.7500  0.7500  4 Cu 2.95, 4 Sm 2.95
Cu  0.0000  0.0000  0.5000  4 Gd 2.95
Cu  0.0000  0.5000  0.0000  4 Gd 2.95
Cu  0.5000  0.0000  0.0000  4 Gd 2.95
Cu  0.5000  0.5000  0.5000  4 Gd 2.95

[4]
A relaxed SmGdCu2 crystal, computed with PBE-GGA.

crystal system	orthorhombic
magnetization	0.005	Bohr magnetons per cell
DFT formation energy	-216	meV/atom
electronic total energy	-35.327	eV/cell

a = 4.4995 Å, b = 3.7595 Å, c = 10.4679 Å
α = 90.00°, β = 90.00°, γ = 90.00°
With the nearest neighbours (Å) after each atom.
Fractional positions:
Sm  0.0000  0.0000  0.0000  7 Cu 2.91-3.03
Sm  0.0000  0.5000  0.5000  7 Cu 2.91-3.03
Gd  0.5000  0.0000  0.7185  7 Cu 2.89-3.04
Gd  0.5000  0.5000  0.2185  7 Cu 2.89-3.04
Cu  0.0000  0.0000  0.2876  2 Cu 2.69, 2 Sm 2.91
Cu  0.0000  0.5000  0.7876  2 Cu 2.69, 2 Sm 2.91
Cu  0.5000  0.0000  0.4277  2 Cu 2.69, 2 Gd 2.89
Cu  0.5000  0.5000  0.9277  2 Cu 2.69, 2 Gd 2.89

[5]
A relaxed SmGdCu4 crystal, computed with PBE-GGA.

crystal system	tetragonal
magnetization	0.002	Bohr magnetons per cell
DFT formation energy	-131	meV/atom
electronic total energy	-25.020	eV/cell

a = 3.4859 Å, b = 3.4859 Å, c = 9.0135 Å
α = 90.00°, β = 90.00°, γ = 90.00°
With the nearest neighbours (Å) after each atom.
Fractional positions:
Sm  0.0000  0.0000  0.0000  10 Cu 2.88-2.98
Gd  0.5000  0.5000  0.5000  10 Cu 2.83-2.95
Cu  0.0000  0.0000  0.3198  4 Cu 2.74, 1 Sm 2.88, 4 Gd 2.95
Cu  0.0000  0.0000  0.6802  4 Cu 2.74, 1 Sm 2.88, 4 Gd 2.95
Cu  0.5000  0.5000  0.1866  4 Cu 2.74, 1 Gd 2.83, 4 Sm 2.98
Cu  0.5000  0.5000  0.8134  4 Cu 2.74, 1 Gd 2.83, 4 Sm 2.98

[6]
A relaxed SmGdCu2Sn crystal, computed with PBE-GGA.

crystal system	orthorhombic
magnetization	0.043	Bohr magnetons per cell
electronic total energy	-46.211	eV/cell

a = 3.6535 Å, b = 4.3395 Å, c = 13.8713 Å
α = 90.00°, β = 90.00°, γ = 90.00°
With the nearest neighbours (Å) after each atom.
Fractional positions:
Sm  0.0000  0.0000  0.0000  6 Cu 2.97-3.01
Sm  0.0000  0.5000  0.5000  6 Cu 2.97-3.01
Gd  0.0000  0.0000  0.2602  6 Cu 2.94-3.00
Gd  0.0000  0.5000  0.7602  6 Cu 2.94-3.00
Cu  0.5000  0.0000  0.4267  2 Cu 2.54, 1 Sn 2.83
Cu  0.5000  0.0000  0.8309  2 Cu 2.54, 1 Sn 2.77
Cu  0.5000  0.5000  0.3309  2 Cu 2.54, 1 Sn 2.77
Cu  0.5000  0.5000  0.9267  2 Cu 2.54, 1 Sn 2.83
Sn  0.5000  0.0000  0.6310  2 Cu 2.77-2.83
Sn  0.5000  0.5000  0.1310  2 Cu 2.77-2.83

[7]
A relaxed Sm2GdCu4Sn4 crystal, computed with PBE-GGA.

crystal system	orthorhombic
magnetization	0.001	Bohr magnetons per cell
electronic total energy	-50.858	eV/cell

a = 8.5338 Å, b = 8.5338 Å, c = 8.5338 Å
α = 149.20°, β = 131.85°, γ = 58.25°
With the nearest neighbours (Å) after each atom.
Fractional positions:
Sm  0.1320  0.1320  0.0000  6 Cu 3.20-3.24, 6 Sn 3.20-3.32
Sm  0.8680  0.8680  0.0000  6 Cu 3.20-3.24, 6 Sn 3.20-3.32
Gd  0.5000  0.0000  0.5000  6 Sn 3.07-3.22
Cu  0.1459  0.3311  0.8148  1 Cu 2.58, 4 Sn 2.63-2.78
Cu  0.4837  0.6689  0.8148  1 Cu 2.58, 4 Sn 2.63-2.78
Cu  0.5163  0.3311  0.1852  1 Cu 2.58, 4 Sn 2.63-2.78
Cu  0.8541  0.6689  0.1852  1 Cu 2.58, 4 Sn 2.63-2.78
Sn  0.2034  0.5000  0.7034  2 Cu 2.63, 1 Sn 2.83
Sn  0.2839  0.7839  0.5000  6 Cu 2.70-2.78
Sn  0.7161  0.2161  0.5000  6 Cu 2.70-2.78
Sn  0.7966  0.5000  0.2966  2 Cu 2.63, 1 Sn 2.83

[8]
A relaxed SmGdCu2Sn2 crystal, computed with PBE-GGA.

crystal system	trigonal
magnetization	0.010	Bohr magnetons per cell
electronic total energy	-28.442	eV/cell

a = 4.5745 Å, b = 4.5745 Å, c = 7.3474 Å
α = 90.00°, β = 90.00°, γ = 120.00°
With the nearest neighbours (Å) after each atom.
Fractional positions:
Sm  0.0000  0.0000  0.0000  3 Cu 2.99, 6 Sn 3.15-3.32
Gd  0.0000  0.0000  0.4997  3 Cu 2.96, 6 Sn 3.13-3.29
Cu  0.3333  0.6667  0.8093  3 Sn 2.71, 3 Sm 2.99
Cu  0.6667  0.3333  0.3172  4 Sn 2.71-3.01, 3 Gd 2.96
Sn  0.3333  0.6667  0.2325  3 Cu 2.71
Sn  0.6667  0.3333  0.7273  4 Cu 2.71-3.01

[9]
A relaxed SmGdTlCu2 crystal, computed with PBE-GGA.

crystal system	orthorhombic
magnetization	0.057	Bohr magnetons per cell
electronic total energy	-41.380	eV/cell

a = 3.6498 Å, b = 4.3003 Å, c = 14.1767 Å
α = 90.00°, β = 90.00°, γ = 90.00°
With the nearest neighbours (Å) after each atom.
Fractional positions:
Sm  0.0000  0.0000  0.0000  6 Cu 2.95-2.99
Sm  0.0000  0.5000  0.5000  6 Cu 2.95-2.99
Gd  0.0000  0.0000  0.7315  6 Cu 2.93-2.98
Gd  0.0000  0.5000  0.2315  6 Cu 2.93-2.98
Tl  0.5000  0.0000  0.3655  2 Cu 2.87-2.89
Tl  0.5000  0.5000  0.8655  2 Cu 2.87-2.89
Cu  0.5000  0.0000  0.1633  2 Cu 2.53
Cu  0.5000  0.0000  0.5696  2 Cu 2.53
Cu  0.5000  0.5000  0.0696  2 Cu 2.53
Cu  0.5000  0.5000  0.6633  2 Cu 2.53

[10]
A relaxed Gd2CuSn6 crystal, computed with PBE-GGA.

crystal system	orthorhombic
magnetization	0.009	Bohr magnetons per cell
electronic total energy	-40.880	eV/cell

a = 11.5335 Å, b = 11.5335 Å, c = 4.5183 Å
α = 90.00°, β = 90.00°, γ = 157.76°
With the nearest neighbours (Å) after each atom.
Fractional positions:
Gd  0.1770  0.8230  0.0000  10 Sn 3.23-3.49
Gd  0.8230  0.1770  0.0000  10 Sn 3.23-3.49
Cu  0.5000  0.5000  0.5000  8 Sn 2.75-2.77
Sn  0.0713  0.9287  0.5000  2 Cu 2.75
Sn  0.2947  0.7053  0.5000  2 Sn 3.01, 4 Gd 3.23
Sn  0.4294  0.5706  0.0000  2 Cu 2.77
Sn  0.5706  0.4294  0.0000  2 Cu 2.77
Sn  0.7053  0.2947  0.5000  2 Sn 3.01, 4 Gd 3.23
Sn  0.9287  0.0713  0.5000  2 Cu 2.75

[11]
A relaxed Gd2CuSn2 crystal, computed with PBE-GGA.

crystal system	orthorhombic
magnetization	0.027	Bohr magnetons per cell
electronic total energy	-44.939	eV/cell

a = 9.3511 Å, b = 9.3435 Å, c = 5.7627 Å
α = 72.12°, β = 71.97°, γ = 35.91°
With the nearest neighbours (Å) after each atom.
Fractional positions:
Gd  0.0748  0.0748  0.6752  2 Cu 3.00, 2 Sn 3.28
Gd  0.3248  0.3248  0.9252  2 Cu 3.00, 2 Sn 3.28
Gd  0.6752  0.6752  0.0748  2 Cu 3.00, 2 Sn 3.28
Gd  0.9252  0.9252  0.3248  2 Cu 3.00, 2 Sn 3.28
Cu  0.3750  0.3750  0.3750  4 Sn 2.55
Cu  0.6250  0.6250  0.6250  4 Sn 2.55
Sn  0.0000  0.5000  0.5000  2 Cu 2.55
Sn  0.5000  0.0000  0.5000  2 Cu 2.55
Sn  0.5000  0.5000  0.0000  2 Cu 2.55
Sn  0.5000  0.5000  0.5000  2 Cu 2.55

[12]
A relaxed TbGdCu2Sn crystal, computed with PBE-GGA.

crystal system	orthorhombic
magnetization	0.022	Bohr magnetons per cell
electronic total energy	-46.139	eV/cell

a = 3.6344 Å, b = 4.2514 Å, c = 13.8493 Å
α = 90.00°, β = 90.00°, γ = 90.00°
With the nearest neighbours (Å) after each atom.
Fractional positions:
Tb  0.0000  0.0000  0.0000  6 Cu 2.94-2.96
Tb  0.0000  0.5000  0.5000  6 Cu 2.94-2.96
Gd  0.0000  0.0000  0.2611  6 Cu 2.96-2.97
Gd  0.0000  0.5000  0.7611  6 Cu 2.96-2.97
Cu  0.5000  0.0000  0.4294  2 Cu 2.51, 1 Sn 2.78
Cu  0.5000  0.0000  0.8328  2 Cu 2.51, 1 Sn 2.80
Cu  0.5000  0.5000  0.3328  2 Cu 2.51, 1 Sn 2.80
Cu  0.5000  0.5000  0.9294  2 Cu 2.51, 1 Sn 2.78
Sn  0.5000  0.0000  0.6303  2 Cu 2.78-2.80
Sn  0.5000  0.5000  0.1303  2 Cu 2.78-2.80